VASP calculation (PBE) on an optimized crystal structure of HPbSe2N.

```
HPbSe2N
1.0
5.634 0.000 0.000
0.000 5.634 0.000
0.000 0.000 4.557
H Pb Se N
1 1 2 1
Direct
0.000 0.000 0.000
0.500 0.500 0.500
0.000 0.500 0.500
0.500 0.000 0.500
0.500 0.500 0.000
```

Values from the calculation:
The calculation puts the calculated volume at 144.7 Å³ per cell. The crystal system is tetragonal. As for the energy above the lowest structure with this stoichiometry: 628 meV/atom.

=====

VASP calculation (PBE) on an optimized crystal structure of NaPm3Dy2Te6.

```
NaPm3Dy2Te6
1.0
9.682 -2.206 0.000
9.682 2.206 0.000
-2.090 0.000 8.662
Na Pm Dy Te
1 3 2 6
Direct
0.000 0.000 0.000
0.000 0.000 0.500
0.338 0.338 0.177
0.662 0.662 0.823
0.333 0.333 0.661
0.667 0.667 0.339
0.168 0.168 0.089
0.168 0.168 0.578
0.496 0.496 0.752
0.504 0.504 0.248
0.832 0.832 0.422
0.832 0.832 0.911
```

Values from the calculation:
As for the energy relative to the elements, uncorrected: -1565 kJ/mol of formula units. The calculation puts the calculated volume at 370.1 Å³ per cell. The crystal system is monoclinic.

=====

VASP calculation (PBE) on an optimized crystal structure of VNi2Ru2.

```
VNi2Ru2
1.0
6.971 0.000 0.000
0.000 6.971 0.000
0.000 0.000 2.731
V Ni Ru
2 4 4
Direct
0.000 0.000 0.000
0.500 0.500 0.000
0.169 0.331 0.500
0.331 0.831 0.500
0.669 0.169 0.500
0.831 0.669 0.500
0.129 0.629 0.000
0.371 0.129 0.000
0.629 0.871 0.000
0.871 0.371 0.000
```

Values from the calculation:
The calculation puts the calculated volume at 132.7 Å³ per cell. The crystal system is tetragonal. As for the energy above the lowest structure with this stoichiometry: 86 meV/atom.

=====

VASP calculation (PBE) on an optimized crystal structure of Pm9Sm2In.

```
Pm9Sm2In
1.0
5.054 0.000 0.000
0.000 5.054 0.000
0.000 0.000 15.492
Pm Sm In
9 2 1
Direct
0.000 0.000 0.000
0.000 0.000 0.329
0.000 0.000 0.671
0.000 0.500 0.160
0.000 0.500 0.500
0.000 0.500 0.840
0.500 0.000 0.160
0.500 0.000 0.500
0.500 0.000 0.840
0.500 0.500 0.330
0.500 0.500 0.670
0.500 0.500 0.000
```

Values from the calculation:
The total energy is -55.75 eV for the cell shown. The calculation puts the calculated volume at 395.8 Å³ per cell. The crystal system is tetragonal.

=====

VASP calculation (PBE) on an optimized crystal structure of Nd3Tl2Pb.

```
Nd3Tl2Pb
1.0
5.203 0.000 0.000
0.000 15.587 0.000
0.000 0.000 4.424
Nd Tl Pb
6 4 2
Direct
0.250 0.084 0.000
0.250 0.416 0.000
0.250 0.750 0.001
0.750 0.250 0.999
0.750 0.584 0.000
0.750 0.916 0.000
0.250 0.580 0.500
0.250 0.920 0.500
0.750 0.080 0.500
0.750 0.420 0.500
0.250 0.250 0.499
0.750 0.750 0.501
```

Values from the calculation:
The calculation puts the calculated volume at 358.8 Å³ per cell. The crystal system is orthorhombic. As for the energy above the lowest structure with this stoichiometry: 0 meV/atom.

=====

VASP calculation (PBE) on an optimized crystal structure of SnPd2Pb.

```
SnPd2Pb
1.0
2.155 -7.742 0.000
2.155 7.742 0.000
0.000 0.000 5.214
Sn Pd Pb
2 4 2
Direct
0.056 0.944 0.500
0.944 0.056 0.000
0.355 0.645 0.831
0.454 0.546 0.332
0.546 0.454 0.832
0.645 0.355 0.331
0.271 0.729 0.341
0.729 0.271 0.841
```

Values from the calculation:
The calculation puts the calculated volume at 174.0 Å³ per cell. The crystal system is orthorhombic. As for the energy above the lowest structure with this stoichiometry: 72 meV/atom.

=====

VASP calculation (PBE) on an optimized crystal structure of Cs2Cd2Sn.

```
Cs2Cd2Sn
1.0
6.002 -3.737 0.000
6.002 3.737 0.000
-1.947 0.000 9.294
Cs Cd Sn
4 4 2
Direct
0.034 0.263 0.150
0.263 0.034 0.650
0.737 0.966 0.350
0.966 0.737 0.850
0.256 0.494 0.502
0.494 0.256 0.002
0.506 0.744 0.998
0.744 0.506 0.498
0.388 0.612 0.250
0.612 0.388 0.750
```

Values from the calculation:
The calculation puts the calculated volume at 417.0 Å³ per cell. The crystal system is monoclinic. As for the energy above the lowest structure with this stoichiometry: 17 meV/atom.

=====

VASP calculation (PBE) on an optimized crystal structure of Na3CdHg5.

```
Na3CdHg5
1.0
9.296 0.000 0.000
-4.648 8.050 0.000
0.000 0.000 6.160
Na Cd Hg
6 2 10
Direct
0.000 0.366 0.250
0.000 0.634 0.750
0.366 0.000 0.250
0.366 0.366 0.750
0.634 0.000 0.750
0.634 0.634 0.250
0.000 0.000 0.000
0.000 0.000 0.500
0.000 0.302 0.750
0.000 0.698 0.250
0.302 0.000 0.750
0.302 0.302 0.250
0.333 0.667 0.000
0.333 0.667 0.500
0.667 0.333 0.000
0.667 0.333 0.500
0.698 0.000 0.250
0.698 0.698 0.750
```

Values from the calculation:
The total energy is -16.42 eV for the cell shown. The calculation puts the calculated volume at 460.9 Å³ per cell. The crystal system is hexagonal.

=====

VASP calculation (PBE) on an optimized crystal structure of Nd3Ir8Rh.

```
Nd3Ir8Rh
1.0
2.697 1.557 8.791
-2.697 1.557 8.791
0.000 -3.114 8.791
Nd Ir Rh
3 8 1
Direct
0.000 0.000 0.000
0.130 0.130 0.130
0.516 0.516 0.516
0.067 0.067 0.572
0.067 0.572 0.067
0.068 0.565 0.565
0.315 0.315 0.315
0.565 0.068 0.565
0.565 0.565 0.068
0.572 0.067 0.067
0.817 0.817 0.817
0.649 0.649 0.649
```

Values from the calculation:
The total energy is -97.58 eV for the cell shown. The calculation puts the calculated volume at 221.4 Å³ per cell. The crystal system is trigonal.

=====

VASP calculation (PBE) on an optimized crystal structure of Ac2SmAs3Rh12.

```
Ac2SmAs3Rh12
1.0
4.651 2.685 4.365
-4.651 2.685 4.365
0.000 -5.371 4.365
Ac Sm As Rh
2 1 3 12
Direct
0.143 0.143 0.143
0.857 0.857 0.857
0.500 0.500 0.500
0.000 0.500 0.500
0.500 0.000 0.500
0.500 0.500 0.000
0.125 0.125 0.600
0.125 0.600 0.125
0.179 0.684 0.684
0.316 0.316 0.821
0.316 0.821 0.316
0.400 0.875 0.875
0.600 0.125 0.125
0.684 0.179 0.684
0.684 0.684 0.179
0.821 0.316 0.316
0.875 0.400 0.875
0.875 0.875 0.400
```

Values from the calculation:
The total energy is -119.19 eV for the cell shown. The calculation puts the calculated volume at 327.1 Å³ per cell. The crystal system is trigonal.

=====

VASP calculation (PBE) on an optimized crystal structure of Mg3SbN.

```
Mg3SbN
1.0
-2.399 2.399 10.827
2.399 -2.399 10.827
2.399 2.399 -10.827
Mg Sb N
6 2 2
Direct
0.179 0.179 0.000
0.374 0.618 0.756
0.382 0.138 0.756
0.382 0.626 0.244
0.821 0.821 0.000
0.862 0.618 0.244
0.250 0.750 0.500
0.500 0.500 0.000
0.642 0.142 0.500
0.858 0.358 0.500
```

Values from the calculation:
As for the energy relative to the elements, uncorrected: 376 kJ/mol of formula units. The calculation puts the calculated volume at 249.3 Å³ per cell. The crystal system is tetragonal.

=====

VASP calculation (PBE) on an optimized crystal structure of LiYRh.

```
LiYRh
1.0
3.272 0.000 0.000
0.000 4.511 0.000
-0.036 0.000 4.479
Li Y Rh
1 1 1
Direct
0.000 0.000 0.000
0.000 0.500 0.500
0.500 0.000 0.500
```

Values from the calculation:
The calculation puts the calculated volume at 66.1 Å³ per cell. The crystal system is monoclinic. As for the energy above the lowest structure with this stoichiometry: 194 meV/atom.

=====

VASP calculation (PBE) on an optimized crystal structure of YTc2F.

```
YTc2F
1.0
-2.376 2.376 7.163
2.376 -2.376 7.163
2.376 2.376 -7.163
Y Tc F
2 4 2
Direct
0.375 0.625 0.750
0.625 0.375 0.250
0.000 0.000 0.000
0.000 0.000 0.500
0.000 0.500 0.000
0.500 0.000 0.500
0.125 0.875 0.250
0.875 0.125 0.750
```

Values from the calculation:
As for the energy relative to the elements, uncorrected: 112 kJ/mol of formula units. The calculation puts the calculated volume at 161.8 Å³ per cell. The crystal system is tetragonal. As for the energy above the lowest structure with this stoichiometry: 0 meV/atom.

=====

VASP calculation (PBE) on an optimized crystal structure of Si2HgI.

```
Si2HgI
1.0
7.699 -1.989 0.000
7.699 1.989 0.000
-3.497 0.000 9.428
Si Hg I
4 2 2
Direct
0.000 0.000 0.000
0.515 0.515 0.265
0.587 0.587 0.087
0.928 0.928 0.178
0.223 0.223 0.852
0.757 0.757 0.124
0.611 0.611 0.522
0.906 0.906 0.742
```

Values from the calculation:
As for the energy relative to the elements, uncorrected: 16 kJ/mol of formula units. The calculation puts the calculated volume at 288.7 Å³ per cell. The crystal system is monoclinic. As for the energy above the lowest structure with this stoichiometry: 34 meV/atom.

=====

VASP calculation (PBE) on an optimized crystal structure of CuSb3F.

```
CuSb3F
1.0
5.038 0.000 0.000
0.000 5.038 0.000
0.000 0.000 5.038
Cu Sb F
1 3 1
Direct
0.000 0.000 0.000
0.000 0.000 0.500
0.000 0.500 0.000
0.500 0.000 0.000
0.500 0.500 0.500
```

Values from the calculation:
As for the energy relative to the elements, uncorrected: 82 kJ/mol of formula units. The calculation puts the calculated volume at 127.9 Å³ per cell. The crystal system is cubic. As for the energy above the lowest structure with this stoichiometry: 0 meV/atom.

=====

VASP calculation (PBE) on an optimized crystal structure of Tb2NdTm2.

```
Tb2NdTm2
1.0
6.139 -2.859 0.000
6.139 2.859 0.000
-3.090 0.000 9.148
Tb Nd Tm
4 2 4
Direct
0.158 0.158 0.043
0.267 0.267 0.732
0.733 0.733 0.268
0.842 0.842 0.957
0.051 0.051 0.350
0.949 0.949 0.650
0.358 0.358 0.421
0.446 0.446 0.130
0.554 0.554 0.870
0.642 0.642 0.579
```

Values from the calculation:
The calculation puts the calculated volume at 321.1 Å³ per cell. The crystal system is monoclinic. As for the energy above the lowest structure with this stoichiometry: 23 meV/atom.

=====

VASP calculation (PBE) on an optimized crystal structure of Sm2DySc3Bi6.

```
Sm2DySc3Bi6
1.0
3.814 -6.611 0.000
3.814 6.611 0.000
-2.545 0.000 7.168
Sm Dy Sc Bi
2 1 3 6
Direct
0.166 0.834 0.000
0.834 0.166 0.000
0.500 0.500 0.000
0.000 0.000 0.500
0.331 0.669 0.500
0.669 0.331 0.500
0.081 0.411 0.732
0.260 0.260 0.269
0.411 0.081 0.732
0.589 0.919 0.268
0.740 0.740 0.731
0.919 0.589 0.268
```

Values from the calculation:
The total energy is -65.61 eV for the cell shown. The calculation puts the calculated volume at 361.5 Å³ per cell. The crystal system is monoclinic.

=====

VASP calculation (PBE) on an optimized crystal structure of InIr2Pt.

```
InIr2Pt
1.0
1.456 0.841 8.833
-1.456 0.841 8.833
0.000 -1.681 8.833
In Ir Pt
1 2 1
Direct
0.000 0.000 0.000
0.248 0.248 0.248
0.752 0.752 0.752
0.500 0.500 0.500
```

Values from the calculation:
The total energy is -25.73 eV for the cell shown. The calculation puts the calculated volume at 64.9 Å³ per cell. The crystal system is trigonal.

=====

VASP calculation (PBE) on an optimized crystal structure of Li2CaAl.

```
Li2CaAl
1.0
3.641 0.000 0.000
0.000 3.641 0.000
0.000 0.000 6.846
Li Ca Al
2 1 1
Direct
0.000 0.000 0.190
0.000 0.000 0.810
0.500 0.500 0.500
0.500 0.500 0.000
```

Values from the calculation:
The total energy is -9.53 eV for the cell shown. The calculation puts the calculated volume at 90.8 Å³ per cell. The crystal system is tetragonal.

=====

VASP calculation (PBE) on an optimized crystal structure of BiH2Pt.

```
BiH2Pt
1.0
0.000 2.955 2.955
2.955 0.000 2.955
2.955 2.955 0.000
Bi H Pt
1 2 1
Direct
0.000 0.000 0.000
0.250 0.250 0.250
0.750 0.750 0.750
0.500 0.500 0.500
```

Values from the calculation:
The calculation puts the calculated volume at 51.6 Å³ per cell. The crystal system is cubic. As for the energy above the lowest structure with this stoichiometry: 642 meV/atom.

=====

VASP calculation (PBE) on an optimized crystal structure of LaFe2Te.

```
LaFe2Te
1.0
0.000 3.510 3.510
3.510 0.000 3.510
3.510 3.510 0.000
La Fe Te
1 2 1
Direct
0.000 0.000 0.000
0.500 0.500 0.500
0.750 0.750 0.750
0.250 0.250 0.250
```

Values from the calculation:
As for the energy relative to the elements, uncorrected: 104 kJ/mol of formula units. The calculation puts the calculated volume at 86.5 Å³ per cell. The crystal system is cubic.

=====

VASP calculation (PBE) on an optimized crystal structure of Mo6IrRu.

```
Mo6IrRu
1.0
4.993 0.000 0.000
0.000 4.993 0.000
0.000 0.000 4.993
Mo Ir Ru
6 1 1
Direct
0.000 0.251 0.500
0.000 0.749 0.500
0.251 0.500 0.000
0.500 0.000 0.251
0.500 0.000 0.749
0.749 0.500 0.000
0.000 0.000 0.000
0.500 0.500 0.500
```

Values from the calculation:
The total energy is -83.38 eV for the cell shown. The calculation puts the calculated volume at 124.5 Å³ per cell. The crystal system is cubic.

=====

VASP calculation (PBE) on an optimized crystal structure of Sc6TcRh5.

```
Sc6TcRh5
1.0
-2.283 3.222 6.848
2.283 -3.222 6.848
2.283 3.222 -6.848
Sc Tc Rh
6 1 5
Direct
0.083 0.335 0.748
0.247 0.000 0.247
0.413 0.665 0.748
0.587 0.335 0.252
0.753 0.000 0.753
0.917 0.665 0.252
0.000 0.500 0.500
0.168 0.168 0.000
0.333 0.833 0.500
0.500 0.500 0.000
0.667 0.167 0.500
0.832 0.832 0.000
```

Values from the calculation:
The total energy is -95.82 eV for the cell shown. The calculation puts the calculated volume at 201.5 Å³ per cell. The crystal system is orthorhombic.